(1)
VASP calculation (PBE) on an optimized crystal structure of BaTlCr2.

The energy of formation from the pure elements comes out at 0.939 eV/atom. As for the energy above the most stable polymorph in this dataset: 550 meV/atom. For the total magnetization, the calculation gives 8.84 μB per formula unit.

abc: 6.160 6.267 3.456
angles: 76.28 85.49 118.02
Each line ends with the local moment (μB).
Sites, in units of the cell vectors:
1 Ba 0.500 0.500 0.000  0.01
2 Cr 0.000 0.000 0.000  3.92
3 Cr 0.500 0.000 0.500  3.92
4 Tl 0.000 0.500 0.500  -0.05

(2)
VASP calculation (PBE) on an optimized crystal structure of LiLaErSn.

The energy of formation from the pure elements comes out at -0.413 eV/atom. For the total magnetization, the calculation gives 0.01 μB per formula unit.

abc: 5.343 5.343 5.343
angles: 60.00 60.00 60.00
Sites, in units of the cell vectors:
1 La 0.500 0.500 0.500
2 Li 0.750 0.750 0.750
3 Sn 0.250 0.250 0.250
4 Er 0.000 0.000 0.000

(3)
VASP calculation (PBE) on an optimized crystal structure of NdPaBi2.

The energy of formation from the pure elements comes out at -0.375 eV/atom. As for the energy above the most stable polymorph in this dataset: 18 meV/atom. For the total magnetization, the calculation gives 1.87 μB per formula unit.

abc: 5.516 5.516 5.516
angles: 60.00 60.00 60.00
Each line ends with the local moment (μB).
Sites, in units of the cell vectors:
1 Pa 0.000 0.000 0.000  1.04
2 Nd 0.500 0.500 0.500  0.30
3 Bi 0.250 0.250 0.250  -0.06
4 Bi 0.750 0.750 0.750  -0.06